CdGaAu2: optimized geometry, GGA-PBE.

Summary:
Final energy: -0.197 Ry per atom
SG: I-42d (122)
ρ: 11755 kg/m³

Lattice parameters (Å, degrees): 6.0840 6.0840 6.0840 102.03 102.03 125.68
Closest atoms and distances in Å follow each position.
Fractional positions:
1 Cd 0.0000 0.0000 0.0000  2 Ga 2.78, 4 Au 2.95
2 Cd 0.7500 0.2500 0.5000  2 Ga 2.78, 4 Au 2.95
3 Ga 0.2500 0.7500 0.5000  4 Au 2.65, 2 Cd 2.78
4 Ga 0.5000 0.5000 0.0000  4 Au 2.65, 2 Cd 2.78
5 Au 0.1541 0.6250 0.0291  2 Ga 2.65, 2 Au 2.81, 2 Cd 2.95
6 Au 0.3750 0.4041 0.5291  2 Ga 2.65, 2 Au 2.81, 2 Cd 2.95
7 Au 0.5959 0.1250 0.9709  2 Ga 2.65, 2 Au 2.81, 2 Cd 2.95
8 Au 0.8750 0.8459 0.4709  2 Ga 2.65, 2 Au 2.81, 2 Cd 2.95

---

Cd2GaAu7: optimized geometry, GGA-PBE.

Summary:
Final energy: -0.177 Ry per atom
SG: Fm-3m (225)
ρ: 11011 kg/m³

Lattice parameters (Å, degrees): 7.0930 7.0930 7.0930 60.00 60.00 60.00
Closest atoms and distances in Å follow each position.
Fractional positions:
1 Cd 0.2500 0.2500 0.2500  12 Au 3.55
2 Cd 0.7500 0.7500 0.7500  12 Au 3.55
3 Ga 0.0000 0.0000 0.0000  6 Au 2.42
4 Au 0.2408 0.2408 0.7592  1 Ga 2.42, 1 Au 2.60
5 Au 0.2408 0.7592 0.2408  1 Ga 2.42, 1 Au 2.60
6 Au 0.2408 0.7592 0.7592  1 Ga 2.42, 1 Au 2.60
7 Au 0.5000 0.5000 0.5000  6 Au 2.60
8 Au 0.7592 0.2408 0.2408  1 Ga 2.42, 1 Au 2.60
9 Au 0.7592 0.2408 0.7592  1 Ga 2.42, 1 Au 2.60
10 Au 0.7592 0.7592 0.2408  1 Ga 2.42, 1 Au 2.60

---

CdGa2Au: optimized geometry, GGA-PBE.

Summary:
Final energy: -0.191 Ry per atom
SG: R-3m (166)
ρ: 8855 kg/m³

Lattice parameters (Å, degrees): 9.5456 9.5456 9.5456 19.43 19.43 19.43
Closest atoms and distances in Å follow each position.
Fractional positions:
1 Cd 0.0000 0.0000 0.0000  2 Ga 2.70
2 Ga 0.0961 0.0961 0.0961  1 Cd 2.70, 3 Au 2.72
3 Ga 0.9039 0.9039 0.9039  1 Cd 2.70, 3 Au 2.72
4 Au 0.5000 0.5000 0.5000  6 Ga 2.72

---

Cd3Ga4Au4: optimized geometry, GGA-PBE.

Summary:
Final energy: -0.199 Ry per atom
SG: Immm (71)
ρ: 10501 kg/m³

Lattice parameters (Å, degrees): 8.3160 8.3160 8.3160 152.87 121.29 65.83
Closest atoms and distances in Å follow each position.
Fractional positions:
1 Cd 0.0000 0.0000 0.0000  6 Au 2.94-3.26
2 Cd 0.3963 0.8963 0.5000  1 Cd 2.90, 6 Au 3.00-3.07
3 Cd 0.6037 0.1037 0.5000  1 Cd 2.90, 6 Au 3.00-3.07
4 Ga 0.0210 0.3212 0.6997  4 Au 2.56-2.74
5 Ga 0.3785 0.6788 0.6997  4 Au 2.56-2.74
6 Ga 0.6215 0.3212 0.3003  4 Au 2.56-2.74
7 Ga 0.9790 0.6788 0.3003  4 Au 2.56-2.74
8 Au 0.2332 0.2332 0.0000  6 Ga 2.65-2.74
9 Au 0.2704 0.5000 0.7704  2 Ga 2.56
10 Au 0.7296 0.5000 0.2296  2 Ga 2.56
11 Au 0.7668 0.7668 0.0000  6 Ga 2.65-2.74

---

Cd3GaAu4: optimized geometry, GGA-PBE.

Summary:
SG: Imm2 (44)
ρ: 12390 kg/m³
Excess energy over the best structure of this formula in the dataset: 65.2 meV/atom

Lattice parameters (Å, degrees): 6.3033 6.3033 6.3033 124.54 80.79 126.37
Closest atoms and distances in Å follow each position.
Fractional positions:
1 Cd 0.0000 0.0000 0.0000  4 Au 2.79-3.08, 2 Ga 2.97, 2 Cd 3.02
2 Cd 0.0443 0.7630 0.2813  6 Au 2.84-2.97, 1 Ga 2.90, 1 Cd 3.02
3 Cd 0.4817 0.7630 0.7187  6 Au 2.84-2.97, 1 Ga 2.90, 1 Cd 3.02
4 Ga 0.9124 0.4124 0.5000  4 Au 2.60-2.72, 2 Cd 2.90
5 Au 0.0250 0.2683 0.7567  1 Ga 2.60, 3 Cd 2.79-2.90
6 Au 0.5116 0.2683 0.2433  1 Ga 2.60, 3 Cd 2.79-2.90
7 Au 0.5172 0.2776 0.7604  1 Ga 2.72, 1 Au 2.81, 2 Cd 2.97
8 Au 0.5172 0.7568 0.2396  1 Ga 2.72, 1 Au 2.81, 2 Cd 2.97

---

CdGa3Au6: optimized geometry, GGA-PBE.

Summary:
Final energy: -0.228 Ry per atom
SG: P2_1/m (11)
ρ: 12971 kg/m³

Lattice parameters (Å, degrees): 10.0267 3.5725 10.7510 90.00 91.74 90.00
Closest atoms and distances in Å follow each position.
Fractional positions:
1 Cd 0.0695 0.2500 0.2829  8 Au 2.86-3.10
2 Cd 0.9305 0.7500 0.7171  8 Au 2.86-3.10
3 Ga 0.1774 0.2500 0.9033  6 Au 2.66-2.71, 1 Ga 2.82
4 Ga 0.2902 0.7500 0.4859  7 Au 2.60-2.84
5 Ga 0.3942 0.2500 0.0768  5 Au 2.69-2.74, 1 Ga 2.82
6 Ga 0.6058 0.7500 0.9232  5 Au 2.69-2.74, 1 Ga 2.82
7 Ga 0.7098 0.2500 0.5141  7 Au 2.60-2.84
8 Ga 0.8226 0.7500 0.0967  6 Au 2.66-2.71, 1 Ga 2.82
9 Au 0.0873 0.7500 0.0710  3 Ga 2.68-2.71, 3 Au 2.77-2.90, 2 Cd 2.90
10 Au 0.1010 0.2500 0.5484  2 Ga 2.71, 1 Cd 2.86, 4 Au 2.87-2.88
11 Au 0.2255 0.7500 0.7264  3 Ga 2.66-2.68, 4 Au 2.88-2.91, 1 Cd 2.96
12 Au 0.2973 0.7500 0.2446  3 Ga 2.60-2.74, 2 Au 2.77-2.87
13 Au 0.4295 0.2500 0.8289  4 Ga 2.67-2.70, 3 Au 2.87-2.91
14 Au 0.4807 0.2500 0.3890  3 Ga 2.63-2.84
15 Au 0.5193 0.7500 0.6110  3 Ga 2.63-2.84
16 Au 0.5705 0.7500 0.1711  4 Ga 2.67-2.70, 3 Au 2.87-2.91
17 Au 0.7027 0.2500 0.7554  3 Ga 2.60-2.74, 2 Au 2.77-2.87
18 Au 0.7745 0.2500 0.2736  3 Ga 2.66-2.68, 4 Au 2.88-2.91, 1 Cd 2.96
19 Au 0.8990 0.7500 0.4516  2 Ga 2.71, 1 Cd 2.86, 4 Au 2.87-2.88
20 Au 0.9127 0.2500 0.9290  3 Ga 2.68-2.71, 3 Au 2.77-2.90, 2 Cd 2.90

---

Cd3Ga2Au7: optimized geometry, GGA-PBE.

Summary:
Final energy: -0.200 Ry per atom
SG: Cmmm (65)
ρ: 12371 kg/m³

Lattice parameters (Å, degrees): 10.0446 10.0446 4.9067 90.00 90.00 149.80
Closest atoms and distances in Å follow each position.
Fractional positions:
1 Cd 0.0000 0.0000 0.0000  8 Au 2.86-3.09, 2 Cd 3.06
2 Cd 0.1577 0.8423 0.0000  6 Au 2.77-2.98, 1 Cd 3.06
3 Cd 0.8423 0.1577 0.0000  6 Au 2.77-2.98, 1 Cd 3.06
4 Ga 0.3563 0.6437 0.5000  4 Au 2.56-2.79
5 Ga 0.6437 0.3563 0.5000  4 Au 2.56-2.79
6 Au 0.0762 0.9238 0.5000  4 Cd 2.86-2.92, 4 Au 2.88-3.01, 2 Ga 2.93
7 Au 0.2245 0.7755 0.5000  1 Ga 2.56, 2 Cd 2.77, 2 Au 2.80
8 Au 0.4154 0.5846 0.0000  2 Ga 2.71, 2 Au 2.95, 2 Cd 2.98
9 Au 0.5000 0.5000 0.5000  2 Ga 2.79, 8 Au 2.95-3.01
10 Au 0.5846 0.4154 0.0000  2 Ga 2.71, 2 Au 2.95, 2 Cd 2.98
11 Au 0.7755 0.2245 0.5000  1 Ga 2.56, 2 Cd 2.77, 2 Au 2.80
12 Au 0.9238 0.0762 0.5000  4 Cd 2.86-2.92, 4 Au 2.88-3.01, 2 Ga 2.93

---

CdGa2Au7: optimized geometry, GGA-PBE.

Summary:
SG: I4/mmm (139)
ρ: 14174 kg/m³
Excess energy over the best structure of this formula in the dataset: 0.0 meV/atom

Lattice parameters (Å, degrees): 11.0057 11.0057 11.0057 157.75 157.75 31.67
Closest atoms and distances in Å follow each position.
Fractional positions:
1 Cd 0.0000 0.0000 0.0000  12 Au 2.98-3.00
2 Ga 0.3261 0.3261 0.0000  8 Au 2.65-2.67
3 Ga 0.6739 0.6739 0.0000  8 Au 2.65-2.67
4 Au 0.0989 0.5989 0.5000  2 Ga 2.65
5 Au 0.2500 0.7500 0.5000  4 Ga 2.67
6 Au 0.4011 0.9011 0.5000  2 Ga 2.65
7 Au 0.5000 0.5000 0.0000  8 Au 2.98, 4 Cd 3.00
8 Au 0.5989 0.0989 0.5000  2 Ga 2.65
9 Au 0.7500 0.2500 0.5000  4 Ga 2.67
10 Au 0.9011 0.4011 0.5000  2 Ga 2.65

---

CdGaAu3: optimized geometry, GGA-PBE.

Summary:
SG: R-3c (167)
ρ: 12907 kg/m³
Excess energy over the best structure of this formula in the dataset: 109.3 meV/atom

Lattice parameters (Å, degrees): 5.9046 5.9046 5.9046 80.95 80.95 80.95
Closest atoms and distances in Å follow each position.
Fractional positions:
1 Cd 0.2500 0.2500 0.2500  9 Au 2.89-3.10, 2 Ga 2.93
2 Cd 0.7500 0.7500 0.7500  9 Au 2.89-3.10, 2 Ga 2.93
3 Ga 0.0000 0.0000 0.0000  6 Au 2.60
4 Ga 0.5000 0.5000 0.5000  6 Au 2.60
5 Au 0.1274 0.7500 0.3726  2 Ga 2.60, 1 Cd 2.89
6 Au 0.2500 0.6274 0.8726  2 Ga 2.60, 1 Cd 2.89
7 Au 0.3726 0.1274 0.7500  2 Ga 2.60, 1 Cd 2.89
8 Au 0.6274 0.8726 0.2500  2 Ga 2.60, 1 Cd 2.89
9 Au 0.7500 0.3726 0.1274  2 Ga 2.60, 1 Cd 2.89
10 Au 0.8726 0.2500 0.6274  2 Ga 2.60, 1 Cd 2.89

---

CdGa2Au5: optimized geometry, GGA-PBE.

Summary:
Final energy: -0.224 Ry per atom
SG: Pbam (55)
ρ: 13994 kg/m³

Lattice parameters (Å, degrees): 7.0777 9.1535 9.0602 90.00 90.00 90.00
Closest atoms and distances in Å follow each position.
Fractional positions:
1 Cd 0.0059 0.2199 0.0000  10 Au 2.87-3.04
2 Cd 0.4941 0.7199 0.0000  10 Au 2.87-3.04
3 Cd 0.5059 0.2801 0.0000  10 Au 2.87-3.04
4 Cd 0.9941 0.7801 0.0000  10 Au 2.87-3.04
5 Ga 0.0000 0.5000 0.2508  6 Au 2.68-2.70
6 Ga 0.0000 0.5000 0.7492  6 Au 2.68-2.70
7 Ga 0.0396 0.1755 0.5000  9 Au 2.70-2.98
8 Ga 0.4604 0.6755 0.5000  9 Au 2.70-2.98
9 Ga 0.5000 0.0000 0.2508  6 Au 2.68-2.70
10 Ga 0.5000 0.0000 0.7492  6 Au 2.68-2.70
11 Ga 0.5396 0.3245 0.5000  9 Au 2.70-2.98
12 Ga 0.9604 0.8245 0.5000  9 Au 2.70-2.98
13 Au 0.0000 0.0000 0.2433  2 Ga 2.84, 6 Au 2.90-3.03, 2 Cd 2.99
14 Au 0.0000 0.0000 0.7567  2 Ga 2.84, 6 Au 2.90-3.03, 2 Cd 2.99
15 Au 0.1933 0.4486 0.5000  5 Ga 2.68-2.81, 3 Au 2.89-2.95
16 Au 0.2062 0.4989 0.0000  2 Ga 2.70, 4 Cd 2.87-2.98, 1 Au 2.92
17 Au 0.2282 0.7365 0.2627  3 Ga 2.70-2.98, 3 Au 2.90-2.95, 1 Cd 2.93
18 Au 0.2282 0.7365 0.7373  3 Ga 2.70-2.98, 3 Au 2.90-2.95, 1 Cd 2.93
19 Au 0.2718 0.2365 0.2627  3 Ga 2.70-2.98, 3 Au 2.90-2.95, 1 Cd 2.93
20 Au 0.2718 0.2365 0.7373  3 Ga 2.70-2.98, 3 Au 2.90-2.95, 1 Cd 2.93
21 Au 0.2938 0.9989 0.0000  2 Ga 2.70, 4 Cd 2.87-2.98, 1 Au 2.92
22 Au 0.3067 0.9486 0.5000  5 Ga 2.68-2.81, 3 Au 2.89-2.95
23 Au 0.5000 0.5000 0.2433  2 Ga 2.84, 6 Au 2.90-3.03, 2 Cd 2.99
24 Au 0.5000 0.5000 0.7567  2 Ga 2.84, 6 Au 2.90-3.03, 2 Cd 2.99
25 Au 0.6933 0.0514 0.5000  5 Ga 2.68-2.81, 3 Au 2.89-2.95
26 Au 0.7062 0.0011 0.0000  2 Ga 2.70, 4 Cd 2.87-2.98, 1 Au 2.92
27 Au 0.7282 0.7635 0.2627  3 Ga 2.70-2.98, 3 Au 2.90-2.95, 1 Cd 2.93
28 Au 0.7282 0.7635 0.7373  3 Ga 2.70-2.98, 3 Au 2.90-2.95, 1 Cd 2.93
29 Au 0.7718 0.2635 0.2627  3 Ga 2.70-2.98, 3 Au 2.90-2.95, 1 Cd 2.93
30 Au 0.7718 0.2635 0.7373  3 Ga 2.70-2.98, 3 Au 2.90-2.95, 1 Cd 2.93
31 Au 0.7938 0.5011 0.0000  2 Ga 2.70, 4 Cd 2.87-2.98, 1 Au 2.92
32 Au 0.8067 0.5514 0.5000  5 Ga 2.68-2.81, 3 Au 2.89-2.95

---

Q: Among the records above, which one has the highest ρ?
A: CdGa2Au7

---

Repeat the seventh record exactly.
Cd3Ga2Au7: optimized geometry, GGA-PBE.

Summary:
Final energy: -0.200 Ry per atom
SG: Cmmm (65)
ρ: 12371 kg/m³

Lattice parameters (Å, degrees): 10.0446 10.0446 4.9067 90.00 90.00 149.80
Closest atoms and distances in Å follow each position.
Fractional positions:
1 Cd 0.0000 0.0000 0.0000  8 Au 2.86-3.09, 2 Cd 3.06
2 Cd 0.1577 0.8423 0.0000  6 Au 2.77-2.98, 1 Cd 3.06
3 Cd 0.8423 0.1577 0.0000  6 Au 2.77-2.98, 1 Cd 3.06
4 Ga 0.3563 0.6437 0.5000  4 Au 2.56-2.79
5 Ga 0.6437 0.3563 0.5000  4 Au 2.56-2.79
6 Au 0.0762 0.9238 0.5000  4 Cd 2.86-2.92, 4 Au 2.88-3.01, 2 Ga 2.93
7 Au 0.2245 0.7755 0.5000  1 Ga 2.56, 2 Cd 2.77, 2 Au 2.80
8 Au 0.4154 0.5846 0.0000  2 Ga 2.71, 2 Au 2.95, 2 Cd 2.98
9 Au 0.5000 0.5000 0.5000  2 Ga 2.79, 8 Au 2.95-3.01
10 Au 0.5846 0.4154 0.0000  2 Ga 2.71, 2 Au 2.95, 2 Cd 2.98
11 Au 0.7755 0.2245 0.5000  1 Ga 2.56, 2 Cd 2.77, 2 Au 2.80
12 Au 0.9238 0.0762 0.5000  4 Cd 2.86-2.92, 4 Au 2.88-3.01, 2 Ga 2.93